(1)
First-principles (PBE) data for a relaxed SrLi6CdAg crystal, as listed in the Alexandria database.

Geometry as POSCAR:
```
SrLi6CdAg
1.0
7.427 0.000 0.000
0.000 9.480 0.000
-3.713 -4.740 6.285
Li Sr Ag Cd
12 2 2 2
direct
0.310 0.096 0.233
0.923 0.637 0.233
0.990 0.740 0.981
0.690 0.363 0.767
0.591 0.841 0.183
0.690 0.904 0.767
0.077 0.904 0.767
0.010 0.260 0.019
0.310 0.637 0.233
0.409 0.159 0.817
0.923 0.096 0.233
0.077 0.363 0.767
0.320 0.570 0.639
0.680 0.430 0.361
0.500 0.000 0.000
0.500 0.500 0.000
0.500 0.000 0.500
0.000 0.000 0.500
```

Output
DFT formation energy ... 0.00 eV per atom
Total moment ... 0.000 μB/cell
D(E_F) ... 4.6 states/eV/f.u.

(2)
First-principles (PBE) data for a relaxed ZrGaPt crystal, as listed in the Alexandria database.

Geometry as POSCAR:
```
ZrGaPt
1.0
-2.787 -1.009 2.187
1.474 -3.360 0.328
4.988 4.739 5.442
Zr Ga Pt
2 2 2
direct
0.250 0.750 0.500
0.500 0.500 0.000
0.926 0.926 0.853
0.074 0.074 0.147
0.829 0.329 0.657
0.671 0.171 0.343
```

Output
DFT formation energy ... -0.67 eV per atom
Total moment ... 0.000 μB/cell
D(E_F) ... 2.8 states/eV/f.u.

(3)
First-principles (PBE) data for a relaxed Y3Te2H crystal, as listed in the Alexandria database.

Geometry as POSCAR:
```
Y3Te2H
1.0
-2.596 0.570 5.418
1.140 -8.046 1.393
5.606 5.673 2.090
Y H Te
6 2 4
direct
0.969 0.887 0.610
0.969 0.610 0.887
0.469 0.390 0.113
0.469 0.113 0.390
0.474 0.897 0.897
0.974 0.103 0.103
0.106 0.837 0.837
0.606 0.163 0.163
0.970 0.514 0.198
0.470 0.486 0.802
0.470 0.802 0.486
0.970 0.198 0.514
```

Output
Total moment ... 0.831 μB/cell
D(E_F) ... 4.0 states/eV/f.u.
Final energy ... -34.1 eV per formula unit

(4)
First-principles (PBE) data for a relaxed HfInCo2P crystal, as listed in the Alexandria database.

Geometry as POSCAR:
```
HfInCo2P
1.0
-4.011 -0.550 -1.155
-0.998 -1.836 4.338
-0.936 3.853 1.416
P Co In Hf
1 2 1 1
direct
0.000 0.000 0.000
0.500 0.000 0.000
0.000 0.000 0.500
0.500 0.500 0.500
0.000 0.500 0.000
```

Output
DFT formation energy ... -0.03 eV per atom
Total moment ... 2.644 μB/cell
D(E_F) ... 4.5 states/eV/f.u.

(5)
First-principles (PBE) data for a relaxed MgSi4Pd6 crystal, as listed in the Alexandria database.

Geometry as POSCAR:
```
MgSi4Pd6
1.0
-3.076 -5.365 1.355
4.528 -0.442 -4.403
3.618 2.360 4.629
Si Pd Mg
4 6 1
direct
0.000 0.150 0.575
0.000 0.575 0.150
0.576 0.425 0.425
0.424 0.850 0.850
0.709 0.214 0.214
0.000 0.495 0.786
0.500 0.000 0.500
0.291 0.505 0.505
0.000 0.786 0.495
0.500 0.500 0.000
0.000 0.000 0.000
```

Output
Total moment ... 0.000 μB/cell
Formation energy (no corrections) ... -35 kJ/mol of atoms
D(E_F) ... 3.8 states/eV/f.u.

(6)
First-principles (PBE) data for a relaxed NdTlAgPb crystal, as listed in the Alexandria database.

Geometry as POSCAR:
```
NdTlAgPb
1.0
-1.942 3.816 -1.718
-2.212 0.700 4.056
3.787 2.651 1.608
Nd Pb Tl Ag
1 1 1 1
direct
0.000 0.500 0.500
0.500 0.000 0.500
0.500 0.500 0.000
0.000 0.000 0.000
```

Output
DFT formation energy ... -0.29 eV per atom
Total moment ... 0.000 μB/cell
D(E_F) ... 2.5 states/eV/f.u.